VO2 (GGA+U, relaxed); SG = P1, No. 1; raw total energy = -7.73 eV/atom; spin magnetization = 6.00 Bohr magnetons per cell
1.0
-4.330 2.319 1.025
-4.059 -8.200 0.410
2.674 -0.880 4.160
V O
6 12
Direct
0.431 0.240 0.066 V
0.924 0.762 0.566 V
0.076 0.260 0.447 V
0.551 0.738 0.927 V
0.499 0.500 0.500 V
0.997 0.999 0.007 V
0.294 0.120 0.310 O
0.796 0.611 0.787 O
0.215 0.389 0.200 O
0.681 0.880 0.714 O
0.105 0.142 0.775 O
0.587 0.643 0.248 O
0.749 0.137 0.090 O
0.257 0.641 0.606 O
0.399 0.359 0.738 O
0.904 0.860 0.259 O
0.756 0.358 0.410 O
0.221 0.861 0.906 O